# ThCo3 (PBEsol, optimized geometry)
# - Magnetic moment: 0.60 μB/f.u.
# - Calculated formation energy: -0.201 eV/atom
# - V: 14.1 A^3/atom
# - Symmetry: R-3m, No. 166
# - D(E_F): 1.36 states/eV/atom
data_ThCo3
_cell_length_a 4.8856
_cell_length_b 4.8856
_cell_length_c 8.6348
_cell_angle_alpha 73.57
_cell_angle_beta 73.57
_cell_angle_gamma 60.00
_space_group_name_H-M_alt 'P 1'
_space_group_IT_number 1
_space_group_name_Hall 'P 1'
loop_
_atom_site_label
_atom_site_type_symbol
_atom_site_fract_x
_atom_site_fract_y
_atom_site_fract_z
Co1 Co 0.5000 0.5000 0.5000
Co2 Co 0.6672 0.6672 0.9983
Co3 Co 0.3328 0.3328 0.0017
Co4 Co 0.9190 0.4209 0.2392
Co5 Co 0.4209 0.9190 0.2392
Co6 Co 0.4209 0.4209 0.2392
Co7 Co 0.5791 0.5791 0.7608
Co8 Co 0.0810 0.5791 0.7608
Co9 Co 0.5791 0.0810 0.7608
Th1 Th 0.0000 0.0000 0.0000
Th2 Th 0.8625 0.8625 0.4126
Th3 Th 0.1375 0.1375 0.5874

***

# Th2Co17 (PBEsol, optimized geometry)
# - Magnetic moment: 22.83 μB/f.u.
# - Calculated formation energy: -0.106 eV/atom
# - V: 12.3 A^3/atom
# - Symmetry: R-3m, No. 166
# - D(E_F): 1.12 states/eV/atom
data_Th2Co17
_cell_length_a 6.2044
_cell_length_b 6.2044
_cell_length_c 6.2044
_cell_angle_alpha 83.11
_cell_angle_beta 83.11
_cell_angle_gamma 83.11
_space_group_name_H-M_alt 'P 1'
_space_group_IT_number 1
_space_group_name_Hall 'P 1'
loop_
_atom_site_label
_atom_site_type_symbol
_atom_site_fract_x
_atom_site_fract_y
_atom_site_fract_z
Th1 Th 0.6563 0.6563 0.6563
Th2 Th 0.3437 0.3437 0.3437
Co1 Co 0.3452 0.8533 0.3452
Co2 Co 0.3452 0.3452 0.8533
Co3 Co 0.0971 0.0971 0.0971
Co4 Co 0.9029 0.9029 0.9029
Co5 Co 0.0000 0.5000 0.0000
Co6 Co 0.5000 0.0000 0.0000
Co7 Co 0.0000 0.0000 0.5000
Co8 Co 0.2847 0.0000 0.7153
Co9 Co 0.0000 0.7153 0.2847
Co10 Co 0.7153 0.2847 0.0000
Co11 Co 0.7153 0.0000 0.2847
Co12 Co 0.0000 0.2847 0.7153
Co13 Co 0.2847 0.7153 0.0000
Co14 Co 0.6548 0.6548 0.1467
Co15 Co 0.6548 0.1467 0.6548
Co16 Co 0.1467 0.6548 0.6548
Co17 Co 0.8533 0.3452 0.3452

***

# ThCo (PBEsol, optimized geometry)
# - Magnetic moment: 0.00 μB/f.u.
# - Calculated formation energy: -0.348 eV/atom
# - V: 19.7 A^3/atom
# - Symmetry: Cmcm, No. 63
# - D(E_F): 0.65 states/eV/atom
data_ThCo
_cell_length_a 3.6845
_cell_length_b 3.9140
_cell_length_c 5.7773
_cell_angle_alpha 90.00
_cell_angle_beta 108.60
_cell_angle_gamma 90.00
_space_group_name_H-M_alt 'P 1'
_space_group_IT_number 1
_space_group_name_Hall 'P 1'
loop_
_atom_site_label
_atom_site_type_symbol
_atom_site_fract_x
_atom_site_fract_y
_atom_site_fract_z
Co1 Co 0.4078 0.7500 0.8157
Co2 Co 0.5922 0.2500 0.1843
Th1 Th 0.1337 0.7500 0.2673
Th2 Th 0.8663 0.2500 0.7327

***

# TiTlCo2 (PBEsol, optimized geometry)
# - Magnetic moment: 1.08 μB/f.u.
# - Calculated formation energy: -0.038 eV/atom
# - V: 13.8 A^3/atom
# - Symmetry: Fm-3m, No. 225
# - D(E_F): 0.46 states/eV/atom
data_TiTlCo2
_cell_length_a 4.2690
_cell_length_b 4.2690
_cell_length_c 4.2690
_cell_angle_alpha 60.00
_cell_angle_beta 60.00
_cell_angle_gamma 60.00
_space_group_name_H-M_alt 'P 1'
_space_group_IT_number 1
_space_group_name_Hall 'P 1'
loop_
_atom_site_label
_atom_site_type_symbol
_atom_site_fract_x
_atom_site_fract_y
_atom_site_fract_z
Tl1 Tl 0.5000 0.5000 0.5000
Co1 Co 0.2500 0.2500 0.2500
Co2 Co 0.7500 0.7500 0.7500
Ti1 Ti 0.0000 0.0000 0.0000

***

# TiTl3Co (PBEsol, optimized geometry)
# - Magnetic moment: 1.91 μB/f.u.
# - Calculated formation energy: 1.231 eV/atom
# - V: 28.7 A^3/atom
# - Symmetry: Pm-3m, No. 221
# - D(E_F): 1.21 states/eV/atom
data_TiTl3Co
_cell_length_a 5.2335
_cell_length_b 5.2335
_cell_length_c 5.2335
_cell_angle_alpha 90.00
_cell_angle_beta 90.00
_cell_angle_gamma 90.00
_space_group_name_H-M_alt 'P 1'
_space_group_IT_number 1
_space_group_name_Hall 'P 1'
loop_
_atom_site_label
_atom_site_type_symbol
_atom_site_fract_x
_atom_site_fract_y
_atom_site_fract_z
Tl1 Tl 0.0000 0.5000 0.0000
Tl2 Tl 0.0000 0.0000 0.5000
Tl3 Tl 0.5000 0.0000 0.0000
Co1 Co 0.5000 0.5000 0.5000
Ti1 Ti 0.0000 0.0000 0.0000

***

# YTi2Co2 (PBEsol, optimized geometry)
# - Magnetic moment: 0.00 μB/f.u.
# - Calculated formation energy: -0.308 eV/atom
# - V: 16.3 A^3/atom
# - Symmetry: I4/mmm, No. 139
# - D(E_F): 0.90 states/eV/atom
data_YTi2Co2
_cell_length_a 4.0879
_cell_length_b 4.0879
_cell_length_c 5.6590
_cell_angle_alpha 111.17
_cell_angle_beta 111.17
_cell_angle_gamma 90.00
_space_group_name_H-M_alt 'P 1'
_space_group_IT_number 1
_space_group_name_Hall 'P 1'
loop_
_atom_site_label
_atom_site_type_symbol
_atom_site_fract_x
_atom_site_fract_y
_atom_site_fract_z
Y1 Y 0.0000 0.0000 0.0000
Co1 Co 0.3844 0.3844 0.7688
Co2 Co 0.6156 0.6156 0.2312
Ti1 Ti 0.2500 0.7500 0.5000
Ti2 Ti 0.7500 0.2500 0.5000

***

Which value of calculated formation energy does entry 5 give?
1.231 eV/atom

***

Look up the calculated formation energy of the third one.
-0.348 eV/atom

***

What did the sixth record say?
# YTi2Co2 (PBEsol, optimized geometry)
# - Magnetic moment: 0.00 μB/f.u.
# - Calculated formation energy: -0.308 eV/atom
# - V: 16.3 A^3/atom
# - Symmetry: I4/mmm, No. 139
# - D(E_F): 0.90 states/eV/atom
data_YTi2Co2
_cell_length_a 4.0879
_cell_length_b 4.0879
_cell_length_c 5.6590
_cell_angle_alpha 111.17
_cell_angle_beta 111.17
_cell_angle_gamma 90.00
_space_group_name_H-M_alt 'P 1'
_space_group_IT_number 1
_space_group_name_Hall 'P 1'
loop_
_atom_site_label
_atom_site_type_symbol
_atom_site_fract_x
_atom_site_fract_y
_atom_site_fract_z
Y1 Y 0.0000 0.0000 0.0000
Co1 Co 0.3844 0.3844 0.7688
Co2 Co 0.6156 0.6156 0.2312
Ti1 Ti 0.2500 0.7500 0.5000
Ti2 Ti 0.7500 0.2500 0.5000